Density functional theory data (PBE-GGA) for TmMg4Cd2 after structural relaxation.

Geometry as CIF:
```
data_TmMg4Cd2
_chemical_formula_sum 'Tm2 Mg8 Cd4'
_cell_length_a 10.5140
_cell_length_b 5.9552
_cell_length_c 7.5986
_cell_angle_alpha 90.00
_cell_angle_beta 133.36
_cell_angle_gamma 90.00
_space_group_name_H-M_alt 'C 1 2/m 1'
_space_group_IT_number 12
_space_group_name_Hall '-C 2y'
loop_
_atom_site_label
_atom_site_type_symbol
_atom_site_fract_x
_atom_site_fract_y
_atom_site_fract_z
Tm1 Tm 0.0000 0.0000 0.0000
Mg1 Mg 0.0000 0.2498 0.5000
Mg2 Mg 0.2500 0.2500 0.0000
Cd1 Cd 0.1527 0.5000 0.3039
```

Results
polymorph energy (0 for the lowest one)	5.17	kcal/mol of atoms
energy of formation	0.143	eV per atom

---

Density functional theory data (PBE-GGA) for TmMg6Cd2 after structural relaxation.

Geometry as CIF:
```
data_TmMg6Cd2
_chemical_formula_sum 'Tm1 Mg6 Cd2'
_cell_length_a 4.3706
_cell_length_b 4.3706
_cell_length_c 11.1096
_cell_angle_alpha 90.00
_cell_angle_beta 90.00
_cell_angle_gamma 90.00
_space_group_name_H-M_alt 'P 4/m m m'
_space_group_IT_number 123
_space_group_name_Hall '-P 4 2'
loop_
_atom_site_label
_atom_site_type_symbol
_atom_site_fract_x
_atom_site_fract_y
_atom_site_fract_z
Tm1 Tm 0.0000 0.0000 0.0000
Mg1 Mg 0.0000 0.0000 0.5000
Mg2 Mg 0.0000 0.5000 0.2885
Mg3 Mg 0.5000 0.5000 0.5000
Cd1 Cd 0.5000 0.5000 0.1222
```

Results
polymorph energy (0 for the lowest one)	0.45	kcal/mol of atoms
energy of formation	-0.053	eV per atom

---

Density functional theory data (PBE-GGA) for Tm12Mg6Cd after structural relaxation.

Geometry as CIF:
```
data_Tm12Mg6Cd
_chemical_formula_sum 'Tm36 Mg18 Cd3'
_cell_length_a 11.2665
_cell_length_b 11.2665
_cell_length_c 14.4667
_cell_angle_alpha 90.00
_cell_angle_beta 90.00
_cell_angle_gamma 120.00
_space_group_name_H-M_alt 'R -3'
_space_group_IT_number 148
_space_group_name_Hall '-R 3'
loop_
_atom_site_label
_atom_site_type_symbol
_atom_site_fract_x
_atom_site_fract_y
_atom_site_fract_z
Tm1 Tm 0.0236 0.1852 0.3171
Tm2 Tm 0.0621 0.8535 0.9092
Mg1 Mg 0.0347 0.4388 0.2013
Cd1 Cd 0.0000 0.0000 0.5000
```

Results
energy of formation	0.040	eV per atom

---

Density functional theory data (PBE-GGA) for Tm2MgCd2 after structural relaxation.

Geometry as CIF:
```
data_Tm2MgCd2
_chemical_formula_sum 'Tm4 Mg2 Cd4'
_cell_length_a 4.6835
_cell_length_b 6.2620
_cell_length_c 8.7387
_cell_angle_alpha 90.00
_cell_angle_beta 90.00
_cell_angle_gamma 90.00
_space_group_name_H-M_alt 'I m m m'
_space_group_IT_number 71
_space_group_name_Hall '-I 2 2'
loop_
_atom_site_label
_atom_site_type_symbol
_atom_site_fract_x
_atom_site_fract_y
_atom_site_fract_z
Tm1 Tm 0.0000 0.0000 0.1985
Mg1 Mg 0.0000 0.5000 0.0000
Cd1 Cd 0.0000 0.2722 0.5000
```

Results
polymorph energy (0 for the lowest one)	1.07	kcal/mol of atoms
energy of formation	-0.150	eV per atom

---

Density functional theory data (PBE-GGA) for Tm2Mg8Cd after structural relaxation.

Geometry as CIF:
```
data_Tm2Mg8Cd
_chemical_formula_sum 'Tm2 Mg8 Cd1'
_cell_length_a 4.6499
_cell_length_b 4.6499
_cell_length_c 12.6575
_cell_angle_alpha 90.00
_cell_angle_beta 90.00
_cell_angle_gamma 90.00
_space_group_name_H-M_alt 'P 4/m m m'
_space_group_IT_number 123
_space_group_name_Hall '-P 4 2'
loop_
_atom_site_label
_atom_site_type_symbol
_atom_site_fract_x
_atom_site_fract_y
_atom_site_fract_z
Tm1 Tm 0.0000 0.0000 0.1873
Mg1 Mg 0.0000 0.5000 0.0000
Mg2 Mg 0.0000 0.5000 0.3675
Mg3 Mg 0.5000 0.5000 0.1872
Cd1 Cd 0.0000 0.0000 0.5000
```

Results
energy of formation	-0.031	eV per atom

---

Density functional theory data (PBE-GGA) for Tm3MgCd2 after structural relaxation.

Geometry as CIF:
```
data_Tm3MgCd2
_chemical_formula_sum 'Tm3 Mg1 Cd2'
_cell_length_a 3.7308
_cell_length_b 3.7308
_cell_length_c 11.0372
_cell_angle_alpha 90.00
_cell_angle_beta 90.00
_cell_angle_gamma 90.00
_space_group_name_H-M_alt 'P 4/m m m'
_space_group_IT_number 123
_space_group_name_Hall '-P 4 2'
loop_
_atom_site_label
_atom_site_type_symbol
_atom_site_fract_x
_atom_site_fract_y
_atom_site_fract_z
Tm1 Tm 0.0000 0.0000 0.0000
Tm2 Tm 0.0000 0.0000 0.3306
Mg1 Mg 0.5000 0.5000 0.5000
Cd1 Cd 0.5000 0.5000 0.1689
```

Results
polymorph energy (0 for the lowest one)	0.14	kcal/mol of atoms
energy of formation	-0.228	eV per atom

---

Density functional theory data (PBE-GGA) for YTmMgCd after structural relaxation.

Geometry as CIF:
```
data_YTmMgCd
_chemical_formula_sum 'Y4 Tm4 Mg4 Cd4'
_cell_length_a 7.4888
_cell_length_b 7.4888
_cell_length_c 7.4888
_cell_angle_alpha 90.00
_cell_angle_beta 90.00
_cell_angle_gamma 90.00
_space_group_name_H-M_alt 'F -4 3 m'
_space_group_IT_number 216
_space_group_name_Hall 'F -4 2 3'
loop_
_atom_site_label
_atom_site_type_symbol
_atom_site_fract_x
_atom_site_fract_y
_atom_site_fract_z
Y1 Y 0.0000 0.0000 0.0000
Tm1 Tm 0.0000 0.0000 0.5000
Mg1 Mg 0.2500 0.2500 0.7500
Cd1 Cd 0.2500 0.2500 0.2500
```

Results
energy of formation	-0.208	eV per atom

---

Density functional theory data (PBE-GGA) for TmMgZrCd after structural relaxation.

Geometry as CIF:
```
data_TmMgZrCd
_chemical_formula_sum 'Tm4 Mg4 Zr4 Cd4'
_cell_length_a 7.2233
_cell_length_b 7.2233
_cell_length_c 7.2233
_cell_angle_alpha 90.00
_cell_angle_beta 90.00
_cell_angle_gamma 90.00
_space_group_name_H-M_alt 'F -4 3 m'
_space_group_IT_number 216
_space_group_name_Hall 'F -4 2 3'
loop_
_atom_site_label
_atom_site_type_symbol
_atom_site_fract_x
_atom_site_fract_y
_atom_site_fract_z
Tm1 Tm 0.0000 0.0000 0.0000
Mg1 Mg 0.2500 0.2500 0.7500
Zr1 Zr 0.0000 0.0000 0.5000
Cd1 Cd 0.2500 0.2500 0.2500
```

Results
energy of formation	-0.046	eV per atom

---

Density functional theory data (PBE-GGA) for MgUCd2 after structural relaxation.

Geometry as CIF:
```
data_MgUCd2
_chemical_formula_sum 'Mg1 U1 Cd2'
_cell_length_a 3.0185
_cell_length_b 3.0185
_cell_length_c 9.6711
_cell_angle_alpha 90.00
_cell_angle_beta 90.00
_cell_angle_gamma 90.00
_space_group_name_H-M_alt 'P 4/m m m'
_space_group_IT_number 123
_space_group_name_Hall '-P 4 2'
loop_
_atom_site_label
_atom_site_type_symbol
_atom_site_fract_x
_atom_site_fract_y
_atom_site_fract_z
Mg1 Mg 0.0000 0.0000 0.0000
U1 U 0.0000 0.0000 0.5000
Cd1 Cd 0.5000 0.5000 0.2340
```

Results
energy of formation	0.099	eV per atom

---

Density functional theory data (PBE-GGA) for MgUCd after structural relaxation.

Geometry as CIF:
```
data_MgUCd
_chemical_formula_sum 'Mg4 U4 Cd4'
_cell_length_a 10.3771
_cell_length_b 3.5960
_cell_length_c 7.6450
_cell_angle_alpha 90.00
_cell_angle_beta 107.02
_cell_angle_gamma 90.00
_space_group_name_H-M_alt 'C 1 2/m 1'
_space_group_IT_number 12
_space_group_name_Hall '-C 2y'
loop_
_atom_site_label
_atom_site_type_symbol
_atom_site_fract_x
_atom_site_fract_y
_atom_site_fract_z
Mg1 Mg 0.1667 0.0000 0.0932
U1 U 0.1791 0.0000 0.5416
Cd1 Cd 0.0213 0.5000 0.7808
```

Results
energy of formation	0.095	eV per atom

---

Density functional theory data (PBE-GGA) for MgV3Cd after structural relaxation.

Geometry as CIF:
```
data_MgV3Cd
_chemical_formula_sum 'Mg1 V3 Cd1'
_cell_length_a 5.0595
_cell_length_b 5.0595
_cell_length_c 5.0595
_cell_angle_alpha 90.00
_cell_angle_beta 90.00
_cell_angle_gamma 90.00
_space_group_name_H-M_alt 'P m -3 m'
_space_group_IT_number 221
_space_group_name_Hall '-P 4 2 3'
loop_
_atom_site_label
_atom_site_type_symbol
_atom_site_fract_x
_atom_site_fract_y
_atom_site_fract_z
Mg1 Mg 0.0000 0.0000 0.0000
V1 V 0.0000 0.5000 0.5000
Cd1 Cd 0.5000 0.5000 0.5000
```

Results
polymorph energy (0 for the lowest one)	0.00	kcal/mol of atoms
energy of formation	1.631	eV per atom

---

Density functional theory data (PBE-GGA) for MgVCd3 after structural relaxation.

Geometry as CIF:
```
data_MgVCd3
_chemical_formula_sum 'Mg1 V1 Cd3'
_cell_length_a 5.3001
_cell_length_b 5.3001
_cell_length_c 5.3001
_cell_angle_alpha 90.00
_cell_angle_beta 90.00
_cell_angle_gamma 90.00
_space_group_name_H-M_alt 'P m -3 m'
_space_group_IT_number 221
_space_group_name_Hall '-P 4 2 3'
loop_
_atom_site_label
_atom_site_type_symbol
_atom_site_fract_x
_atom_site_fract_y
_atom_site_fract_z
Mg1 Mg 0.0000 0.0000 0.0000
V1 V 0.5000 0.5000 0.5000
Cd1 Cd 0.0000 0.5000 0.5000
```

Results
polymorph energy (0 for the lowest one)	0.00	kcal/mol of atoms
energy of formation	0.718	eV per atom